Material: CeO3
Method: DFT, PBE
State: optimized geometry

Calculated values
Formation energy from raw total energies in eV/atom: -1.912

Lattice parameters (Å, degrees): 6.0505 6.0505 3.6537 90.00 90.00 120.00
Last column: nearest neighbours and their distance in Å.
Fractional positions:
Ce 0.3333 0.6667 0.2500  9 O 2.34-2.38
Ce 0.6667 0.3333 0.7500  9 O 2.34-2.38
O 0.0865 0.4107 0.7500  3 Ce 2.34-2.38, 2 O 2.59
O 0.3243 0.9135 0.7500  3 Ce 2.34-2.38, 2 O 2.59
O 0.4107 0.3243 0.2500  3 Ce 2.34-2.38, 2 O 2.59
O 0.5893 0.6757 0.7500  3 Ce 2.34-2.38, 2 O 2.59
O 0.6757 0.0865 0.2500  3 Ce 2.34-2.38, 2 O 2.59
O 0.9135 0.5893 0.2500  3 Ce 2.34-2.38, 2 O 2.59



Material: PuClF3
Method: DFT, PBE
State: optimized geometry

Calculated values
Formation energy from raw total energies in eV/atom: -2.947

Lattice parameters (Å, degrees): 6.6418 5.7319 5.4321 90.00 90.00 90.00
Last column: nearest neighbours and their distance in Å.
Fractional positions:
Pu 0.0000 0.0051 0.0000  3 F 2.02-2.25
Pu 0.5000 0.9949 0.5000  3 F 2.02-2.25
Cl 0.0000 0.6401 0.2570  1 Pu 2.52
Cl 0.5000 0.3599 0.7570  1 Pu 2.52
F 0.0000 0.2948 0.7881  1 Pu 2.02
F 0.2496 0.1231 0.2549  2 Pu 2.25-2.26
F 0.2504 0.8769 0.7549  2 Pu 2.25-2.26
F 0.5000 0.7052 0.2881  1 Pu 2.02
F 0.7504 0.1231 0.2549  2 Pu 2.25-2.26
F 0.7496 0.8769 0.7549  2 Pu 2.25-2.26



Material: Pm2TcOsN5
Method: DFT, PBE
State: optimized geometry

Calculated values
Formation energy from raw total energies in eV/atom: -0.488

Lattice parameters (Å, degrees): 7.4629 7.4629 9.6552 90.00 90.00 154.32
Last column: nearest neighbours and their distance in Å.
Fractional positions:
Pm 0.1136 0.8864 0.5000  6 N 2.46-2.56
Pm 0.1250 0.8750 0.8867  8 N 2.54-2.77
Pm 0.8750 0.1250 0.3867  8 N 2.54-2.77
Pm 0.8864 0.1136 0.0000  6 N 2.46-2.56
Tc 0.2179 0.7821 0.2051  1 N 1.86
Tc 0.7821 0.2179 0.7051  1 N 1.86
Os 0.4281 0.5719 0.6673  4 N 1.94-2.02
Os 0.5719 0.4281 0.1673  4 N 1.94-2.02
N 0.0221 0.9779 0.2409  2 Os 1.94
N 0.3071 0.6929 0.5647  1 Os 2.02, 2 Tc 2.17
N 0.3122 0.6878 0.8320  2 Tc 2.11, 1 Os 2.32
N 0.3455 0.6545 0.1921  1 Tc 1.86
N 0.4890 0.5110 0.4881  1 Os 1.94
N 0.5110 0.4890 0.9881  1 Os 1.94
N 0.6545 0.3455 0.6921  1 Tc 1.86
N 0.6878 0.3122 0.3320  2 Tc 2.11, 1 Os 2.32
N 0.6929 0.3071 0.0647  1 Os 2.02, 2 Tc 2.17
N 0.9779 0.0221 0.7409  2 Os 1.94



Material: Ac2MgIn3Pt4
Method: DFT, PBE
State: optimized geometry

Calculated values
E_form in eV per atom: -0.78

Lattice parameters (Å, degrees): 4.6151 4.6151 11.1686 90.00 90.00 90.00
Last column: nearest neighbours and their distance in Å.
Fractional positions:
Ac 0.0000 0.5000 0.2405  6 In 3.51-3.70, 8 Pt 3.54-3.55, 2 Mg 3.70
Ac 0.5000 0.0000 0.7595  6 In 3.51-3.70, 8 Pt 3.54-3.55, 2 Mg 3.70
Mg 0.0000 0.0000 0.5000  4 Pt 2.76
In 0.0000 0.5000 0.8751  5 Pt 2.68-2.70
In 0.5000 0.0000 0.1249  5 Pt 2.68-2.70
In 0.5000 0.5000 0.5000  4 Pt 2.76
Pt 0.0000 0.0000 0.0000  4 In 2.70
Pt 0.0000 0.5000 0.6348  3 In 2.68-2.76, 2 Mg 2.76
Pt 0.5000 0.0000 0.3651  3 In 2.68-2.76, 2 Mg 2.76
Pt 0.5000 0.5000 0.0000  4 In 2.70



Material: TiH
Method: DFT, PBE
State: optimized geometry

Calculated values
Final energy in eV per cell: -23.14

Lattice parameters (Å, degrees): 2.8647 2.8647 5.2037 90.00 90.00 120.00
Last column: nearest neighbours and their distance in Å.
Fractional positions:
Ti 0.0000 0.0000 0.0000  6 H 2.10
Ti 0.0000 0.0000 0.5000  6 H 2.10
H 0.3333 0.6667 0.2500  6 Ti 2.10
H 0.6667 0.3333 0.7500  6 Ti 2.10



Material: SrRuCl2
Method: DFT, PBE
State: optimized geometry

Calculated values
Formation energy from raw total energies in eV/atom: -0.506

Lattice parameters (Å, degrees): 4.6833 4.6833 20.7609 90.00 90.00 120.00
Last column: nearest neighbours and their distance in Å.
Fractional positions:
Sr 0.0000 0.0000 0.0000  6 Cl 2.93
Sr 0.3333 0.6667 0.6667  6 Cl 2.93
Sr 0.6667 0.3333 0.3333  6 Cl 2.93
Ru 0.0000 0.0000 0.5000  2 Cl 2.34
Ru 0.3333 0.6667 0.1667  2 Cl 2.34
Ru 0.6667 0.3333 0.8333  2 Cl 2.34
Cl 0.0000 0.0000 0.3873  1 Ru 2.34
Cl 0.0000 0.0000 0.6127  1 Ru 2.34
Cl 0.3333 0.6667 0.0540  1 Ru 2.34
Cl 0.3333 0.6667 0.2793  1 Ru 2.34
Cl 0.6667 0.3333 0.7207  1 Ru 2.34
Cl 0.6667 0.3333 0.9460  1 Ru 2.34



Material: Pm2VC2
Method: DFT, PBE
State: optimized geometry

Calculated values
E_form in eV per atom: -0.14

Lattice parameters (Å, degrees): 8.1387 6.3877 6.4319 90.00 100.90 90.00
Last column: nearest neighbours and their distance in Å.
Fractional positions:
Pm 0.0721 0.2259 0.0424  1 C 2.49
Pm 0.0721 0.2741 0.5424  1 C 2.49
Pm 0.3226 0.6238 0.9150  4 C 2.57-2.71
Pm 0.3226 0.8762 0.4150  4 C 2.57-2.71
Pm 0.6774 0.1238 0.5850  4 C 2.57-2.71
Pm 0.6774 0.3762 0.0850  4 C 2.57-2.71
Pm 0.9279 0.7259 0.4576  1 C 2.49
Pm 0.9279 0.7741 0.9576  1 C 2.49
V 0.3846 0.0911 0.8558  4 C 1.99-2.16
V 0.3846 0.4089 0.3558  4 C 1.99-2.16
V 0.6154 0.5911 0.6442  4 C 1.99-2.16
V 0.6154 0.9089 0.1442  4 C 1.99-2.16
C 0.1675 0.5501 0.2456  1 V 1.99
C 0.1675 0.9499 0.7456  1 V 1.99
C 0.4409 0.1525 0.1843  3 V 2.07-2.16
C 0.4409 0.3475 0.6843  3 V 2.07-2.16
C 0.5591 0.6525 0.3157  3 V 2.07-2.16
C 0.5591 0.8475 0.8157  3 V 2.07-2.16
C 0.8325 0.0501 0.2544  1 V 1.99
C 0.8325 0.4499 0.7544  1 V 1.99



Material: Cs3K2USe6
Method: DFT, PBE
State: optimized geometry

Calculated values
Formation energy from raw total energies in eV/atom: -1.133

Lattice parameters (Å, degrees): 8.1718 8.1718 8.5016 99.29 99.29 119.55
Last column: nearest neighbours and their distance in Å.
Fractional positions:
Cs 0.0000 0.0000 0.0000  4 Se 3.54
Cs 0.3211 0.6789 0.0000  6 Se 3.56-3.94
Cs 0.6789 0.3211 0.0000  6 Se 3.56-3.94
K 0.1651 0.8349 0.5000  6 Se 3.39-3.41
K 0.8349 0.1651 0.5000  6 Se 3.39-3.41
U 0.5000 0.5000 0.5000  6 Se 2.71-2.72
Se 0.1625 0.4363 0.3079  1 U 2.72
Se 0.2977 0.2977 0.6971  1 U 2.71
Se 0.4363 0.1625 0.3079  1 U 2.72
Se 0.5637 0.8375 0.6921  1 U 2.72
Se 0.7023 0.7023 0.3029  1 U 2.71
Se 0.8375 0.5637 0.6921  1 U 2.72



Material: ZrAg2SnMo
Method: DFT, PBE
State: optimized geometry

Calculated values
E_form in eV per atom: 1.57

Lattice parameters (Å, degrees): 5.1686 5.1686 5.4404 90.00 90.00 90.00
Last column: nearest neighbours and their distance in Å.
Fractional positions:
Zr 0.0000 0.0000 0.0000  4 Ag 2.58, 2 Sn 2.72
Ag 0.0000 0.5000 0.0000  2 Zr 2.58
Ag 0.5000 0.0000 0.0000  2 Zr 2.58
Sn 0.0000 0.0000 0.5000  2 Zr 2.72
Mo 0.5000 0.5000 0.5000  4 Sn 3.65, 8 Ag 3.75



Material: AlTl2Ni
Method: DFT, PBE
State: optimized geometry

Calculated values
E_form in eV per atom: 0.03

Lattice parameters (Å, degrees): 3.1647 3.1647 8.7401 90.00 90.00 90.00
Last column: nearest neighbours and their distance in Å.
Fractional positions:
Al 0.0000 0.0000 0.0000  4 Ni 2.43
Tl 0.0000 0.0000 0.3562  4 Ni 3.11, 1 Al 3.11, 4 Tl 3.16
Tl 0.5000 0.5000 0.7157  4 Tl 3.16, 4 Al 3.34, 1 Ni 3.44
Ni 0.5000 0.5000 0.1087  4 Al 2.43



Material: TiSiBr3
Method: DFT, PBE
State: optimized geometry

Calculated values
Formation energy from raw total energies in eV/atom: -0.009

Lattice parameters (Å, degrees): 5.1410 5.1410 5.1410 90.00 90.00 90.00
Last column: nearest neighbours and their distance in Å.
Fractional positions:
Ti 0.0000 0.0000 0.0000  6 Br 2.57
Si 0.5000 0.5000 0.5000  12 Br 3.64
Br 0.0000 0.0000 0.5000  2 Ti 2.57
Br 0.0000 0.5000 0.0000  2 Ti 2.57
Br 0.5000 0.0000 0.0000  2 Ti 2.57



Material: Er5TlIn6
Method: DFT, PBE
State: optimized geometry

Calculated values
E_form in eV per atom: -0.39

Lattice parameters (Å, degrees): 8.8453 8.8453 8.8453 148.71 118.37 70.75
Last column: nearest neighbours and their distance in Å.
Fractional positions:
Er 0.0000 0.0000 0.0000  8 In 3.18-3.32, 4 Er 3.46
Er 0.1736 0.6736 0.5000  8 In 3.22-3.27, 4 Er 3.46-3.53
Er 0.3544 0.3544 0.0000  2 Tl 3.18, 8 In 3.21-3.42, 2 Er 3.53
Er 0.6456 0.6456 0.0000  2 Tl 3.18, 8 In 3.21-3.42, 2 Er 3.53
Er 0.8264 0.3264 0.5000  8 In 3.22-3.27, 4 Er 3.46-3.53
Tl 0.5000 0.0000 0.5000  4 Er 3.18, 8 In 3.40-3.41
In 0.0695 0.8275 0.2420  7 Er 3.22-3.42, 4 In 3.27-3.45, 1 Tl 3.41
In 0.2320 0.5000 0.7320  6 Er 3.18-3.27, 2 Tl 3.40, 4 In 3.45
In 0.4144 0.1725 0.2420  7 Er 3.22-3.42, 4 In 3.27-3.45, 1 Tl 3.41
In 0.5856 0.8275 0.7580  7 Er 3.22-3.42, 4 In 3.27-3.45, 1 Tl 3.41
In 0.7680 0.5000 0.2680  6 Er 3.18-3.27, 2 Tl 3.40, 4 In 3.45
In 0.9305 0.1725 0.7580  7 Er 3.22-3.42, 4 In 3.27-3.45, 1 Tl 3.41



Question: Number 9 is which compound?
Answer: ZrAg2SnMo